# Li3Fe2P4HO14, optimized geometry, DFT PBE+U
# Symmetry   P-1 (2)
# Mass density   2.8 g cm⁻³
# Magnetic moment   7.99 μB per cell
# Total DFT energy (no corrections)   -6.41 eV/atom
# Energy above the most stable polymorph in this dataset   321 meV per atom
data_Li3Fe2P4HO14
_space_group_name_H-M_alt 'P 1'
_space_group_IT_number 1
_cell_length_a 5.2227
_cell_length_b 5.2849
_cell_length_c 10.9126
_cell_angle_alpha 91.84
_cell_angle_beta 94.57
_cell_angle_gamma 107.45
loop_
_space_group_symop_operation_xyz
'x,y,z'
loop_
_atom_site_label
_atom_site_type_symbol
_atom_site_fract_x
_atom_site_fract_y
_atom_site_fract_z
O1 O 0.8716 0.0508 0.8589
O2 O 0.2975 0.3087 0.3158
O3 O 0.8806 0.5839 0.8942
O4 O 0.3942 0.2533 0.7208
O5 O 0.5795 0.9496 0.4580
O6 O 0.7025 0.6913 0.6842
O7 O 0.4205 0.0504 0.5420
O8 O 0.6058 0.7467 0.2792
O9 O 0.5639 0.3056 0.1248
O10 O 0.1284 0.9492 0.1411
O11 O 0.4361 0.6944 0.8752
O12 O 0.1195 0.6726 0.3785
O13 O 0.1194 0.4161 0.1058
O14 O 0.8805 0.3274 0.6215
P1 P 0.4056 0.6517 0.3751
P2 P 0.7208 0.7553 0.8304
P3 P 0.2792 0.2447 0.1696
P4 P 0.5944 0.3483 0.6249
Li1 Li 0.0000 0.0000 0.5000
Li2 Li 0.7767 0.2617 0.9906
Li3 Li 0.2233 0.7383 0.0094
Fe1 Fe 0.1118 0.3903 0.7911
Fe2 Fe 0.8882 0.6097 0.2089
H1 H 0.5000 0.5000 0.5000